## PaNiPdO6 (PBE+U)

Data for a relaxed PaNiPdO6 crystal.

Summary:
Energy   -121.0 eV per cell

Lattice parameters (Å, degrees): 5.3019 5.3019 8.8450 90.00 90.00 120.00
Space group P-31c (No. 163)
One atom of each set of equivalent atoms:
Pa 0.3333 0.6667 0.2500 (multiplicity 2)
Ni 0.0000 0.0000 0.0000 (multiplicity 2)
Pd 0.3333 0.6667 0.7500 (multiplicity 2)
O 0.0175 0.3344 0.6225 (multiplicity 12)